(1)
Density functional theory data (GGA-PBEsol) for Ag7Pt5 after structural relaxation.

Cell: 6.299 6.299 8.905 Å, 115.08 115.08 36.72°
Fractional positions:
Ag: 0.000 0.000 0.000
Ag: 0.171 0.171 0.500
Ag: 0.501 0.501 0.499
Ag: 0.586 0.586 0.247
Ag: 0.752 0.752 0.747
Ag: 0.836 0.836 0.499
Ag: 0.918 0.918 0.247
Pt: 0.084 0.084 0.756
Pt: 0.251 0.251 0.239
Pt: 0.331 0.331 0.993
Pt: 0.424 0.424 0.755
Pt: 0.670 0.670 0.996

Formation energy from the elements = 28.5 meV/atom
Polymorph energy (0 for the lowest one) = 3.59 kJ per mole of atoms

(2)
Density functional theory data (GGA-PBEsol) for Ag5Pt6 after structural relaxation.

Cell: 4.821 6.282 6.327 Å, 107.29 105.26 98.48°
Fractional positions:
Ag: 0.000 0.000 0.000
Ag: 0.098 0.819 0.369
Ag: 0.364 0.273 0.453
Ag: 0.636 0.727 0.547
Ag: 0.902 0.181 0.631
Pt: 0.181 0.638 0.732
Pt: 0.275 0.460 0.085
Pt: 0.453 0.093 0.827
Pt: 0.547 0.907 0.173
Pt: 0.725 0.540 0.915
Pt: 0.819 0.362 0.268

Formation energy from the elements = 27.0 meV/atom
Polymorph energy (0 for the lowest one) = 0.00 kJ per mole of atoms

(3)
Density functional theory data (GGA-PBEsol) for Ag2Pt3 after structural relaxation.

Cell: 11.644 11.644 4.844 Å, 93.86 93.86 13.62°
Fractional positions:
Ag: 0.000 0.000 0.000
Ag: 0.202 0.202 0.403
Ag: 0.502 0.502 0.505
Ag: 0.901 0.901 0.301
Pt: 0.103 0.103 0.702
Pt: 0.299 0.299 0.098
Pt: 0.399 0.399 0.801
Pt: 0.601 0.601 0.199
Pt: 0.701 0.701 0.902
Pt: 0.802 0.802 0.606

Formation energy from the elements = 5.7 meV/atom
Polymorph energy (0 for the lowest one) = 2.46 kJ per mole of atoms

Copy entry 2 word for word.
Density functional theory data (GGA-PBEsol) for Ag5Pt6 after structural relaxation.

Cell: 4.821 6.282 6.327 Å, 107.29 105.26 98.48°
Fractional positions:
Ag: 0.000 0.000 0.000
Ag: 0.098 0.819 0.369
Ag: 0.364 0.273 0.453
Ag: 0.636 0.727 0.547
Ag: 0.902 0.181 0.631
Pt: 0.181 0.638 0.732
Pt: 0.275 0.460 0.085
Pt: 0.453 0.093 0.827
Pt: 0.547 0.907 0.173
Pt: 0.725 0.540 0.915
Pt: 0.819 0.362 0.268

Formation energy from the elements = 27.0 meV/atom
Polymorph energy (0 for the lowest one) = 0.00 kJ per mole of atoms

Copy entry 2 word for word.
Density functional theory data (GGA-PBEsol) for Ag5Pt6 after structural relaxation.

Cell: 4.821 6.282 6.327 Å, 107.29 105.26 98.48°
Fractional positions:
Ag: 0.000 0.000 0.000
Ag: 0.098 0.819 0.369
Ag: 0.364 0.273 0.453
Ag: 0.636 0.727 0.547
Ag: 0.902 0.181 0.631
Pt: 0.181 0.638 0.732
Pt: 0.275 0.460 0.085
Pt: 0.453 0.093 0.827
Pt: 0.547 0.907 0.173
Pt: 0.725 0.540 0.915
Pt: 0.819 0.362 0.268

Formation energy from the elements = 27.0 meV/atom
Polymorph energy (0 for the lowest one) = 0.00 kJ per mole of atoms